# Hf3PaN4

Hf3PaN4 after structural relaxation (PBE, the Alexandria database).

Lattice parameters (Å, degrees): 3.2588 5.7097 5.7097 70.97 90.00 90.00
With the nearest neighbours (Å) after each atom.
Fractional positions:
Pa 0.5000 0.5001 0.0000  6 N 2.39-2.41
N 0.0000 0.7680 0.7321  4 Hf 2.24-2.33, 2 Pa 2.41
Hf 0.0000 0.5001 0.5000  6 N 2.33
N 0.4999 0.2428 0.7426  5 Hf 2.26-2.33, 1 Pa 2.39
Hf 0.0000 0.0001 0.0000  6 N 2.33
Hf 0.5000 0.0001 0.5000  6 N 2.24-2.26
N 0.0000 0.2322 0.2679  4 Hf 2.24-2.33, 2 Pa 2.41
N 0.5000 0.7575 0.2573  5 Hf 2.26-2.33, 1 Pa 2.39

Computed properties:
**Fermi-level density of states**: 0.434 states/eV per atom
**Formation energy without anion corrections**: -1.694 eV/atom
**Excess energy over the best structure of this formula in the dataset**: 0.0 kJ/mol of atoms
**Total energy**: -10.776 eV/atom